1.
# K3Mn5S12 PBE-GGA optimized geometry
# DOS at the Fermi energy, states/eV/atom: 0.47
# E_tot, eV per atom: -5.43
data_K3Mn5S12
_space_group_name_H-M_alt 'I a -3 d'
_space_group_IT_number 230
_space_group_name_Hall '-I 4bd 2c 3'
_cell_length_a 15.322
_cell_length_b 15.322
_cell_length_c 15.322
_cell_angle_alpha 90.00
_cell_angle_beta 90.00
_cell_angle_gamma 90.00
loop_
_atom_site_label
_atom_site_type_symbol
_atom_site_fract_x
_atom_site_fract_y
_atom_site_fract_z
_atom_site_occupancy
K1 K 0.000 0.250 0.125 1
Mn1 Mn 0.000 0.000 0.000 1
Mn2 Mn 0.000 0.250 0.375 1
S1 S 0.046 0.047 0.646 1



2.
# K2MnSbS4 PBE-GGA optimized geometry
# DOS at the Fermi energy, states/eV/atom: 0.05
# E_tot, eV per atom: -4.68
data_K2MnSbS4
_space_group_name_H-M_alt 'C 1 2/c 1'
_space_group_IT_number 15
_cell_length_a 11.369
_cell_length_b 11.334
_cell_length_c 8.251
_cell_angle_alpha 90.00
_cell_angle_beta 132.63
_cell_angle_gamma 90.00
loop_
_space_group_symop_operation_xyz
'x,y,z'
'-x,-y,-z'
'-x,y,-z+1/2'
'x,-y,z+1/2'
'x+1/2,y+1/2,z'
'-x+1/2,-y+1/2,-z'
'-x+1/2,y+1/2,-z+1/2'
'x+1/2,-y+1/2,z+1/2'
loop_
_atom_site_label
_atom_site_type_symbol
_atom_site_fract_x
_atom_site_fract_y
_atom_site_fract_z
_atom_site_occupancy
K1 K 0.000 0.000 0.000 1
K2 K 0.250 0.250 0.000 1
Mn1 Mn 0.250 0.250 0.500 1
Sb1 Sb 0.000 0.500 0.000 1
S1 S 0.040 0.260 0.499 1
S2 S 0.224 0.463 0.465 1